(1)
{"formula": "SiH3Ir", "functional": "PBE", "state": "optimized geometry", "lattice_angstrom": [[-1.767, -1.578, 2.471], [2.781, 0.010, 1.996], [-0.928, 3.038, 1.277]], "species": ["H", "H", "H", "Ir", "Si"], "frac_coords": [[0.000, 0.000, 0.500], [0.500, 0.000, 0.000], [0.000, 0.500, 0.000], [0.500, 0.500, 0.500], [0.000, 0.000, 0.000]], "relative_energy_ev_per_fu": 3.31, "dft_energy_ev_per_atom": -3.790, "density_g_cm3": 9.24, "dos_at_fermi_per_ev_atom": 0.570}


(2)
{"formula": "Si2H2Ir", "functional": "PBE", "state": "optimized geometry", "lattice_angstrom": [[-6.010, 0.013, 0.384], [0.309, -3.410, 4.954], [0.111, 2.408, 1.651]], "species": ["H", "H", "H", "H", "Si", "Si", "Si", "Si", "Ir", "Ir"], "frac_coords": [[0.046, 0.454, 0.000], [0.454, 0.954, 0.000], [0.546, 0.046, 0.000], [0.954, 0.546, 0.000], [0.739, 0.761, 0.500], [0.761, 0.261, 0.500], [0.239, 0.739, 0.500], [0.261, 0.239, 0.500], [0.500, 0.500, 0.000], [0.000, 0.000, 0.000]], "relative_energy_ev_per_fu": 1.36, "dft_energy_ev_per_atom": -4.978, "density_g_cm3": 7.85, "dos_at_fermi_per_ev_atom": 0.305}


(3)
{"formula": "Si2HIr2", "functional": "PBE", "state": "optimized geometry", "lattice_angstrom": [[7.045, 0.000, 0.000], [0.000, 7.045, 0.000], [0.000, 0.000, 2.751]], "species": ["H", "H", "Si", "Si", "Si", "Si", "Ir", "Ir", "Ir", "Ir"], "frac_coords": [[0.500, 0.500, 0.000], [0.000, 0.000, 0.000], [0.349, 0.849, 0.000], [0.151, 0.349, 0.000], [0.651, 0.151, 0.000], [0.849, 0.651, 0.000], [0.855, 0.355, 0.500], [0.145, 0.645, 0.500], [0.355, 0.145, 0.500], [0.645, 0.855, 0.500]], "relative_energy_ev_per_fu": 0.00, "dft_energy_ev_per_atom": -6.349, "density_g_cm3": 10.74, "dos_at_fermi_per_ev_atom": 0.248}